An optimized crystal structure of LaYO4, computed with GGA-PBE.

Cell: 3.9970 3.9075 6.5014 Å, 96.74 90.00 120.76°
With the nearest neighbours (Å) after each atom.
Positions (direct):
O (0.8339, 0.6678, 0.6672)  1 O 1.51
O (0.6717, 0.3434, 0.8061)  1 O 1.51
O (0.0998, 0.1996, 0.4045)  3 Y 2.30-2.34, 1 La 2.48
O (0.4018, 0.8036, 0.1235)  1 Y 2.29, 3 La 2.37-2.38
La (0.0487, 0.0974, 0.0192)  7 O 2.37-2.63
Y (0.4441, 0.8883, 0.4795)  7 O 2.29-2.51

Computed properties:
DOS at the Fermi energy, states/eV/f.u.: 0.00
Energy relative to the elements, uncorrected, eV/atom: -2.915

An optimized crystal structure of LaYO2, computed with GGA-PBE.

Cell: 5.4879 5.4879 6.7073 Å, 65.85 65.85 90.00°
With the nearest neighbours (Å) after each atom.
Positions (direct):
O (0.1484, 0.6250, 0.2500)  2 Y 2.30, 2 La 2.45
O (0.3750, 0.3984, 0.7500)  2 Y 2.30, 2 La 2.45
O (0.8750, 0.8516, 0.7500)  2 Y 2.30, 2 La 2.45
O (0.6016, 0.1250, 0.2500)  2 Y 2.30, 2 La 2.45
Y (0.5000, 0.5000, 0.0000)  4 O 2.30
Y (0.2500, 0.7500, 0.5000)  4 O 2.30
La (0.0000, 0.0000, 0.0000)  4 O 2.45
La (0.7500, 0.2500, 0.5000)  4 O 2.45

Computed properties:
DOS at the Fermi energy, states/eV/f.u.: 1.82
Energy relative to the elements, uncorrected, eV/atom: -2.683

An optimized crystal structure of La2YO2, computed with GGA-PBE.

Cell: 8.9139 8.9139 3.1249 Å, 90.00 90.00 90.00°
With the nearest neighbours (Å) after each atom.
Positions (direct):
O (0.9025, 0.4025, 0.5000)  1 O 2.46, 4 La 2.50
O (0.0975, 0.5975, 0.5000)  1 O 2.46, 4 La 2.50
O (0.5975, 0.9025, 0.5000)  1 O 2.46, 4 La 2.50
O (0.4025, 0.0975, 0.5000)  1 O 2.46, 4 La 2.50
Y (0.0000, 0.0000, 0.0000)  2 Y 3.12
Y (0.5000, 0.5000, 0.0000)  2 Y 3.12
La (0.1208, 0.3792, 0.0000)  4 O 2.50
La (0.8792, 0.6208, 0.0000)  4 O 2.50
La (0.3792, 0.8792, 0.0000)  4 O 2.50
La (0.6208, 0.1208, 0.0000)  4 O 2.50

Computed properties:
DOS at the Fermi energy, states/eV/f.u.: 4.59
Energy above the lowest structure with this stoichiometry, eV per atom: 1.0481
Energy relative to the elements, uncorrected, eV/atom: -1.063

An optimized crystal structure of LaY3O, computed with GGA-PBE.

Cell: 5.0202 5.0202 5.0202 Å, 90.00 90.00 90.00°
With the nearest neighbours (Å) after each atom.
Positions (direct):
La (0.5000, 0.5000, 0.5000)  12 Y 3.55
O (0.0000, 0.0000, 0.0000)  6 Y 2.51
Y (0.0000, 0.0000, 0.5000)  2 O 2.51
Y (0.0000, 0.5000, 0.0000)  2 O 2.51
Y (0.5000, 0.0000, 0.0000)  2 O 2.51

Computed properties:
DOS at the Fermi energy, states/eV/f.u.: 5.51
Energy above the lowest structure with this stoichiometry, eV per atom: 0.0000
Energy relative to the elements, uncorrected, eV/atom: -1.017

An optimized crystal structure of LaY3O, computed with GGA-PBE.

Cell: 5.5941 5.5941 5.5941 Å, 90.00 90.00 90.00°
With the nearest neighbours (Å) after each atom.
Positions (direct):
La (0.0000, 0.0000, 0.0000)  6 Y 2.80
Y (0.5000, 0.0000, 0.0000)  2 La 2.80
Y (0.0000, 0.0000, 0.5000)  2 La 2.80
Y (0.0000, 0.5000, 0.0000)  2 La 2.80
O (0.5000, 0.5000, 0.5000)  12 Y 3.96

Computed properties:
DOS at the Fermi energy, states/eV/f.u.: 4.58
Energy above the lowest structure with this stoichiometry, eV per atom: 2.2262
Energy relative to the elements, uncorrected, eV/atom: 1.209

An optimized crystal structure of LaY2O, computed with GGA-PBE.

Cell: 3.2011 3.2011 9.0620 Å, 90.00 90.00 90.00°
With the nearest neighbours (Å) after each atom.
Positions (direct):
O (0.5000, 0.5000, 0.0000)  8 Y 2.74
La (0.5000, 0.5000, 0.5000)  4 La 3.20
Y (0.0000, 0.0000, 0.8301)  4 O 2.74
Y (0.0000, 0.0000, 0.1699)  4 O 2.74

Computed properties:
DOS at the Fermi energy, states/eV/f.u.: 5.00
Energy relative to the elements, uncorrected, eV/atom: -0.787

An optimized crystal structure of La2Y2O, computed with GGA-PBE.

Cell: 4.7034 5.3444 5.3444 Å, 90.00 90.00 90.00°
With the nearest neighbours (Å) after each atom.
Positions (direct):
O (0.0000, 0.0000, 0.0000)  2 Y 2.35
La (0.0000, 0.0000, 0.5000)  2 O 2.67
La (0.0000, 0.5000, 0.0000)  2 O 2.67
Y (0.5000, 0.5000, 0.5000)  8 La 3.56, 4 Y 3.78
Y (0.5000, 0.0000, 0.0000)  2 O 2.35

Computed properties:
DOS at the Fermi energy, states/eV/f.u.: 5.28
Energy relative to the elements, uncorrected, eV/atom: -1.143

An optimized crystal structure of LaY2O2, computed with GGA-PBE.

Cell: 9.0951 9.0951 3.0136 Å, 90.00 90.00 90.00°
With the nearest neighbours (Å) after each atom.
Positions (direct):
Y (0.3908, 0.8908, 0.0000)  4 O 2.38
Y (0.8908, 0.6092, 0.0000)  4 O 2.38
Y (0.1092, 0.3908, 0.0000)  4 O 2.38
Y (0.6092, 0.1092, 0.0000)  4 O 2.38
La (0.0000, 0.0000, 0.0000)  2 La 3.01
La (0.5000, 0.5000, 0.0000)  2 La 3.01
O (0.0921, 0.5921, 0.5000)  1 O 2.37, 4 Y 2.38
O (0.9079, 0.4079, 0.5000)  1 O 2.37, 4 Y 2.38
O (0.4079, 0.0921, 0.5000)  1 O 2.37, 4 Y 2.38
O (0.5921, 0.9079, 0.5000)  1 O 2.37, 4 Y 2.38

Computed properties:
DOS at the Fermi energy, states/eV/f.u.: 3.77
Energy above the lowest structure with this stoichiometry, eV per atom: 1.1955
Energy relative to the elements, uncorrected, eV/atom: -1.016

An optimized crystal structure of La2YZnO, computed with GGA-PBE.

Cell: 5.0680 5.0680 4.6966 Å, 90.00 90.00 90.00°
With the nearest neighbours (Å) after each atom.
Positions (direct):
Zn (0.5000, 0.5000, 0.5000)  8 La 3.45, 4 Y 3.58
O (0.0000, 0.0000, 0.0000)  2 Y 2.35, 4 La 2.53
Y (0.0000, 0.0000, 0.5000)  2 O 2.35
La (0.0000, 0.5000, 0.0000)  2 O 2.53
La (0.5000, 0.0000, 0.0000)  2 O 2.53

Computed properties:
DOS at the Fermi energy, states/eV/f.u.: 3.90
Energy relative to the elements, uncorrected, eV/atom: -1.238

An optimized crystal structure of LaYZr2O, computed with GGA-PBE.

Cell: 4.6135 4.6135 5.2145 Å, 90.00 90.00 90.00°
With the nearest neighbours (Å) after each atom.
Positions (direct):
La (0.0000, 0.0000, 0.5000)  2 O 2.61
Y (0.5000, 0.5000, 0.5000)  4 La 3.26, 8 Zr 3.48
O (0.0000, 0.0000, 0.0000)  4 Zr 2.31
Zr (0.5000, 0.0000, 0.0000)  2 O 2.31
Zr (0.0000, 0.5000, 0.0000)  2 O 2.31

Computed properties:
DOS at the Fermi energy, states/eV/f.u.: 2.93
Energy relative to the elements, uncorrected, eV/atom: -0.990

An optimized crystal structure of LaY2ZrO, computed with GGA-PBE.

Cell: 4.7698 4.7698 5.2643 Å, 90.00 90.00 90.00°
With the nearest neighbours (Å) after each atom.
Positions (direct):
O (0.0000, 0.0000, 0.0000)  4 Y 2.38, 2 La 2.63
Zr (0.5000, 0.5000, 0.5000)  4 La 3.37, 8 Y 3.55
Y (0.5000, 0.0000, 0.0000)  2 O 2.38
Y (0.0000, 0.5000, 0.0000)  2 O 2.38
La (0.0000, 0.0000, 0.5000)  2 O 2.63

Computed properties:
DOS at the Fermi energy, states/eV/f.u.: 6.43
Energy relative to the elements, uncorrected, eV/atom: -1.086

An optimized crystal structure of La4Zn2O, computed with GGA-PBE.

Cell: 5.0511 5.0511 8.2561 Å, 72.19 72.19 90.00°
With the nearest neighbours (Å) after each atom.
Positions (direct):
La (0.1807, 0.1807, 0.6386)  1 O 2.69, 1 Zn 2.95
La (0.0000, 0.5000, 0.0000)  2 O 2.53
La (0.8193, 0.8193, 0.3614)  1 O 2.69, 1 Zn 2.95
La (0.5000, 0.0000, 0.0000)  2 O 2.53
Zn (0.6214, 0.6214, 0.7572)  5 La 2.95-3.11
Zn (0.3786, 0.3786, 0.2428)  5 La 2.95-3.11
O (0.0000, 0.0000, 0.0000)  6 La 2.53-2.69

Computed properties:
DOS at the Fermi energy, states/eV/f.u.: 4.16
Energy relative to the elements, uncorrected, eV/atom: -0.936

The highest energy relative to the elements, uncorrected belongs to which entry?
number 5

Copy entry 7 word for word.
An optimized crystal structure of La2Y2O, computed with GGA-PBE.

Cell: 4.7034 5.3444 5.3444 Å, 90.00 90.00 90.00°
With the nearest neighbours (Å) after each atom.
Positions (direct):
O (0.0000, 0.0000, 0.0000)  2 Y 2.35
La (0.0000, 0.0000, 0.5000)  2 O 2.67
La (0.0000, 0.5000, 0.0000)  2 O 2.67
Y (0.5000, 0.5000, 0.5000)  8 La 3.56, 4 Y 3.78
Y (0.5000, 0.0000, 0.0000)  2 O 2.35

Computed properties:
DOS at the Fermi energy, states/eV/f.u.: 5.28
Energy relative to the elements, uncorrected, eV/atom: -1.143

Which of these has the highest energy relative to the elements, uncorrected?
number 5